No. 1
A geometry-optimized Cu7Ag3 structure, computed with PBE.

Results
As for the volume: 13.76 Å³/atom. The value obtained for the formation energy is 0.07 eV per atom.

Cell lengths 9.3209, 9.3209, 5.4968 Å; angles 98.50, 98.50, 16.95 degrees
Element x y z (fractional)
Ag (0.5938, 0.5938, 0.2935)
Ag (0.2118, 0.2118, 0.6059)
Ag (0.5949, 0.5949, 0.8011)
Cu (0.2109, 0.2109, 0.1053)
Cu (0.4009, 0.4009, 0.2014)
Cu (0.8091, 0.8091, 0.3878)
Cu (0.9873, 0.9873, 0.4994)
Cu (0.3955, 0.3955, 0.6970)
Cu (0.8095, 0.8095, 0.9211)
Cu (0.9864, 0.9864, 0.9875)

=====

No. 2
A geometry-optimized MgCuBi structure, computed with PBE.

Results
The total energy is -17.414 eV/cell. As for the volume: 21.63 Å³/atom.

Cell lengths 5.0422, 5.0422, 5.8952 Å; angles 90.00, 90.00, 120.00 degrees
Element x y z (fractional)
Bi (0.3333, 0.6667, 0.2500)
Bi (0.6667, 0.3333, 0.7500)
Cu (0.0000, 0.0000, 0.0000)
Cu (0.0000, 0.0000, 0.5000)
Mg (0.6667, 0.3333, 0.2500)
Mg (0.3333, 0.6667, 0.7500)

=====

No. 3
A geometry-optimized Dy2Si2O7 structure, computed with PBE.

Results
The total energy is -719.348 eV/cell. As for the volume: 11.83 Å³/atom.

Cell lengths 6.5850, 6.5850, 24.0072 Å; angles 90.00, 90.00, 90.00 degrees
Element x y z (fractional)
Dy (0.7876, 0.2708, 0.0016)
Dy (0.3496, 0.9131, 0.0033)
Dy (0.1405, 0.7395, 0.1383)
Dy (0.5162, 0.1561, 0.1473)
Dy (0.7292, 0.7876, 0.2516)
Dy (0.0869, 0.3496, 0.2533)
Dy (0.2605, 0.1405, 0.3883)
Dy (0.8439, 0.5162, 0.3973)
Dy (0.2124, 0.7292, 0.5016)
Dy (0.6504, 0.0869, 0.5033)
Dy (0.8595, 0.2605, 0.6383)
Dy (0.4838, 0.8439, 0.6473)
Dy (0.2708, 0.2124, 0.7516)
Dy (0.9131, 0.6504, 0.7533)
Dy (0.7395, 0.8595, 0.8883)
Dy (0.1561, 0.4838, 0.8973)
O (0.4618, 0.2286, 0.0362)
O (0.0567, 0.8310, 0.0469)
O (0.7257, 0.5966, 0.0564)
O (0.1151, 0.4112, 0.0700)
O (0.4502, 0.8573, 0.0938)
O (0.8044, 0.1852, 0.0956)
O (0.4603, 0.4989, 0.1367)
O (0.1688, 0.0919, 0.1432)
O (0.7763, 0.7764, 0.1556)
O (0.0010, 0.4403, 0.1685)
O (0.4206, 0.8938, 0.2124)
O (0.7773, 0.1338, 0.2255)
O (0.4227, 0.3270, 0.2357)
O (0.0746, 0.7253, 0.2381)
O (0.7714, 0.4618, 0.2862)
O (0.1690, 0.0567, 0.2969)
O (0.4034, 0.7257, 0.3064)
O (0.5888, 0.1151, 0.3200)
O (0.1427, 0.4502, 0.3438)
O (0.8148, 0.8044, 0.3456)
O (0.5011, 0.4603, 0.3867)
O (0.9081, 0.1688, 0.3932)
O (0.2236, 0.7763, 0.4056)
O (0.5597, 0.0010, 0.4185)
O (0.1062, 0.4206, 0.4624)
O (0.8662, 0.7773, 0.4755)
O (0.6730, 0.4227, 0.4857)
O (0.2747, 0.0746, 0.4881)
O (0.5382, 0.7714, 0.5362)
O (0.9433, 0.1690, 0.5469)
O (0.2743, 0.4034, 0.5564)
O (0.8849, 0.5888, 0.5700)
O (0.5498, 0.1427, 0.5938)
O (0.1956, 0.8148, 0.5956)
O (0.5397, 0.5011, 0.6367)
O (0.8312, 0.9081, 0.6432)
O (0.2237, 0.2236, 0.6556)
O (0.9990, 0.5597, 0.6685)
O (0.5794, 0.1062, 0.7124)
O (0.2227, 0.8662, 0.7255)
O (0.5773, 0.6730, 0.7357)
O (0.9254, 0.2747, 0.7381)
O (0.2286, 0.5382, 0.7862)
O (0.8310, 0.9433, 0.7969)
O (0.5966, 0.2743, 0.8064)
O (0.4112, 0.8849, 0.8200)
O (0.8573, 0.5498, 0.8438)
O (0.1852, 0.1956, 0.8456)
O (0.4989, 0.5397, 0.8867)
O (0.0919, 0.8312, 0.8932)
O (0.7764, 0.2237, 0.9056)
O (0.4403, 0.9990, 0.9185)
O (0.8938, 0.5794, 0.9624)
O (0.1338, 0.2227, 0.9755)
O (0.3270, 0.5773, 0.9857)
O (0.7253, 0.9254, 0.9881)
Si (0.8626, 0.7409, 0.0136)
Si (0.2704, 0.3693, 0.0171)
Si (0.6078, 0.6760, 0.1142)
Si (0.0157, 0.2666, 0.1212)
Si (0.2591, 0.8626, 0.2636)
Si (0.6307, 0.2704, 0.2671)
Si (0.3240, 0.6078, 0.3642)
Si (0.7334, 0.0157, 0.3712)
Si (0.1374, 0.2591, 0.5136)
Si (0.7296, 0.6307, 0.5171)
Si (0.3922, 0.3240, 0.6142)
Si (0.9843, 0.7334, 0.6212)
Si (0.7409, 0.1374, 0.7636)
Si (0.3693, 0.7296, 0.7671)
Si (0.6760, 0.3922, 0.8642)
Si (0.2666, 0.9843, 0.8712)

=====

No. 4
A geometry-optimized Sc4Cd3W2C3 structure, computed with PBE.

Results
The total energy is -171.996 eV/cell. As for the volume: 16.75 Å³/atom.

Cell lengths 5.6161, 5.6162, 14.9907 Å; angles 90.92, 99.99, 119.60 degrees
Element x y z (fractional)
C (0.3421, 0.1850, 0.0000)
C (0.0000, 0.5000, 0.0000)
C (0.6579, 0.8150, 0.0000)
C (0.6850, 0.3422, 0.4999)
C (0.0000, 0.0000, 0.5000)
C (0.3150, 0.6578, 0.5001)
Cd (0.5306, 0.5788, 0.2471)
Cd (0.1241, 0.8741, 0.2500)
Cd (0.8317, 0.2835, 0.2529)
Cd (0.1683, 0.7165, 0.7471)
Cd (0.8759, 0.1259, 0.7500)
Cd (0.4694, 0.4212, 0.7529)
Sc (0.0419, 0.1830, 0.0871)
Sc (0.3905, 0.8793, 0.0872)
Sc (0.2921, 0.3033, 0.4128)
Sc (0.5959, 0.9548, 0.4129)
Sc (0.4041, 0.0452, 0.5871)
Sc (0.7079, 0.6967, 0.5872)
Sc (0.6095, 0.1207, 0.9128)
Sc (0.9581, 0.8170, 0.9129)
W (0.7218, 0.5235, 0.0672)
W (0.9563, 0.6547, 0.4328)
W (0.0437, 0.3453, 0.5672)
W (0.2782, 0.4765, 0.9328)

=====

No. 5
A geometry-optimized NbSiAg2 structure, computed with PBE.

Results
The total energy is -20.248 eV/cell. As for the volume: 16.47 Å³/atom.

Cell lengths 4.5336, 4.5336, 4.5336 Å; angles 60.00, 60.00, 60.00 degrees
Element x y z (fractional)
Ag (0.0000, 0.0000, 0.0000)
Ag (0.7500, 0.7500, 0.7500)
Nb (0.2500, 0.2500, 0.2500)
Si (0.5000, 0.5000, 0.5000)

=====

No. 6
A geometry-optimized Gd3ErC2Se2 structure, computed with PBE.

Results
The total energy is -52.937 eV/cell. As for the volume: 20.74 Å³/atom.

Cell lengths 3.7846, 3.7846, 13.3760 Å; angles 90.00, 90.00, 120.00 degrees
Element x y z (fractional)
C (0.3333, 0.6667, 0.5011)
C (0.3333, 0.6667, 0.9970)
Er (0.0000, 0.0000, 0.8994)
Gd (0.6667, 0.3333, 0.0980)
Gd (0.6667, 0.3333, 0.3988)
Gd (0.0000, 0.0000, 0.6024)
Se (0.0000, 0.0000, 0.2491)
Se (0.6667, 0.3333, 0.7540)

=====

No. 7
A geometry-optimized Cs2AgPbI6 structure, computed with PBE.

Results
The total energy is -25.953 eV/cell. As for the volume: 45.08 Å³/atom.

Cell lengths 8.6055, 8.6055, 8.6054 Å; angles 119.98, 119.98, 60.02 degrees
Element x y z (fractional)
Ag (0.5000, 0.5000, 0.0000)
Cs (0.2502, 0.2502, 0.2500)
Cs (0.7498, 0.7498, 0.7500)
I (0.7435, 0.7435, 0.2426)
I (0.7443, 0.2570, 0.2440)
I (0.2570, 0.7443, 0.2440)
I (0.7430, 0.2557, 0.7560)
I (0.2557, 0.7430, 0.7560)
I (0.2565, 0.2565, 0.7574)
Pb (0.0000, 0.0000, 0.5000)

=====

No. 8
A geometry-optimized K2AuS2 structure, computed with PBE.

Results
The total energy is -17.254 eV/cell. As for the volume: 28.05 Å³/atom.

Cell lengths 3.8609, 6.0636, 6.4964 Å; angles 77.33, 90.00, 108.56 degrees
Element x y z (fractional)
Au (0.5000, 0.0000, 0.0000)
K (0.1623, 0.3246, 0.2833)
K (0.8377, 0.6754, 0.7167)
S (0.8903, 0.7806, 0.2096)
S (0.1097, 0.2194, 0.7904)

=====

No. 9
A geometry-optimized Li4Ag2GeSb structure, computed with PBE.

Results
The total energy is -25.167 eV/cell. As for the volume: 16.61 Å³/atom.

Cell lengths 4.5233, 4.5233, 6.4936 Å; angles 90.00, 90.00, 90.00 degrees
Element x y z (fractional)
Ag (0.5000, 0.0000, 0.2290)
Ag (0.0000, 0.5000, 0.7710)
Ge (0.5000, 0.5000, 0.0000)
Li (0.0000, 0.0000, 0.0000)
Li (0.0000, 0.5000, 0.2339)
Li (0.5000, 0.5000, 0.5000)
Li (0.5000, 0.0000, 0.7661)
Sb (0.0000, 0.0000, 0.5000)

=====

No. 10
A geometry-optimized KMgPd structure, computed with PBE.

Results
The total energy is -7.483 eV/cell. As for the volume: 28.96 Å³/atom.

Cell lengths 4.9714, 4.9714, 4.9714 Å; angles 60.00, 60.00, 60.00 degrees
Element x y z (fractional)
K (0.2500, 0.2500, 0.2500)
Mg (0.7500, 0.7500, 0.7500)
Pd (0.0000, 0.0000, 0.0000)

=====

No. 11
A geometry-optimized Ho2ErTm5 structure, computed with PBE.

Results
As for the volume: 30.32 Å³/atom. The value obtained for the formation energy is 0.00 eV per atom.

Cell lengths 5.5181, 7.1243, 7.1243 Å; angles 60.00, 90.00, 90.00 degrees
Element x y z (fractional)
Er (0.0000, 0.8336, 0.8336)
Ho (0.0000, 0.3334, 0.3334)
Ho (0.5000, 0.6666, 0.6666)
Tm (0.5000, 0.1663, 0.1663)
Tm (0.5000, 0.6673, 0.1665)
Tm (0.0000, 0.8334, 0.3328)
Tm (0.5000, 0.1665, 0.6673)
Tm (0.0000, 0.3328, 0.8334)

=====

No. 12
A geometry-optimized HfBr2Cl4O4 structure, computed with PBE.

Results
The total energy is -47.299 eV/cell. As for the volume: 23.11 Å³/atom.

Cell lengths 6.8099, 6.9222, 6.9592 Å; angles 117.13, 102.27, 107.34 degrees
Element x y z (fractional)
Br (0.2523, 0.4749, 0.3208)
Br (0.7477, 0.5251, 0.6792)
Cl (0.7386, 0.0324, 0.1856)
Cl (0.1892, 0.9123, 0.2599)
Cl (0.8108, 0.0877, 0.7401)
Cl (0.2614, 0.9676, 0.8144)
Hf (0.0000, 0.0000, 0.0000)
O (0.6355, 0.4798, 0.1290)
O (0.5528, 0.6148, 0.2141)
O (0.4472, 0.3852, 0.7859)
O (0.3645, 0.5202, 0.8710)